Entry from Alexandria: NaLiTeI2 after structural relaxation (PBE).

Cell and atoms, written as POSCAR:
```
NaLiTeI2
1.0
6.071 0.000 0.000
0.000 6.071 0.000
0.000 0.000 5.793
Na Li Te I
1 1 1 2
Direct
0.000 0.000 0.000 Na
0.500 0.500 0.500 Li
0.000 0.000 0.500 Te
0.000 0.500 0.000 I
0.500 0.000 0.000 I
```

Computed properties:
Symmetry: P4/mmm (123)
Energy above the lowest structure with this stoichiometry in eV/atom: 0.245
Formation energy from raw total energies in eV per atom: -0.230

***

Entry from Alexandria: Dy2NpUAs4 after structural relaxation (PBE).

Cell and atoms, written as POSCAR:
```
Dy2NpUAs4
1.0
7.066 0.000 0.000
0.000 4.085 0.000
-2.358 0.000 6.769
Dy Np U As
2 1 1 4
Direct
0.000 0.000 0.000 Dy
0.500 0.500 0.000 Dy
0.000 0.500 0.500 Np
0.500 0.000 0.500 U
0.250 0.000 0.748 As
0.252 0.500 0.252 As
0.748 0.500 0.748 As
0.750 0.000 0.252 As
```

Computed properties:
Symmetry: P2/m (10)
Total energy in eV per atom: -7.6268

***

Entry from Alexandria: Al4ReSi after structural relaxation (PBE).

Cell and atoms, written as POSCAR:
```
Al4ReSi
1.0
0.000 3.550 3.550
3.550 0.000 3.550
3.550 3.550 0.000
Al Re Si
4 1 1
Direct
0.376 0.376 0.376 Al
0.376 0.376 0.872 Al
0.376 0.872 0.376 Al
0.872 0.376 0.376 Al
0.750 0.750 0.750 Re
0.000 0.000 0.000 Si
```

Computed properties:
Symmetry: F-43m (216)
Formation energy from raw total energies in eV per atom: 0.267

***

Entry from Alexandria: MnSb after structural relaxation (PBE).

Cell and atoms, written as POSCAR:
```
MnSb
1.0
4.991 -1.952 0.000
4.991 1.952 0.000
-3.206 0.000 6.303
Mn Sb
3 3
Direct
0.000 0.000 0.000 Mn
0.318 0.318 0.667 Mn
0.649 0.649 0.906 Mn
0.020 0.020 0.620 Sb
0.344 0.344 0.082 Sb
0.680 0.680 0.328 Sb
```

Computed properties:
Symmetry: Cm (8)
Formation energy from raw total energies in eV per atom: 0.206

***

Entry from Alexandria: Li2Cu3Pd8 after structural relaxation (PBE).

Cell and atoms, written as POSCAR:
```
Li2Cu3Pd8
1.0
4.974 -4.449 0.000
4.974 4.449 0.000
-1.937 0.000 4.250
Li Cu Pd
2 3 8
Direct
0.208 0.208 0.360 Li
0.792 0.792 0.640 Li
0.253 0.747 0.000 Cu
0.500 0.500 0.500 Cu
0.747 0.253 0.000 Cu
0.064 0.064 0.805 Pd
0.097 0.581 0.342 Pd
0.351 0.351 0.914 Pd
0.419 0.903 0.658 Pd
0.581 0.097 0.342 Pd
0.649 0.649 0.086 Pd
0.903 0.419 0.658 Pd
0.936 0.936 0.195 Pd
```

Computed properties:
Symmetry: C2/m (12)
Energy above the lowest structure with this stoichiometry in eV/atom: 0.000

***

| no. | size of the total moment (μB/cell) |
| --- | --- |
| 1 | 2.03 |
| 2 | 6.21 |
| 3 | 0.00 |
| 4 | 9.62 |
| 5 | 0.00 |